1.
Density functional theory data (PBE-GGA) for SmCoSi2Ge after structural relaxation.

Magnetization = 0.000 μB/f.u.
SG = I4mm, No. 107
Total energy = -30.43 eV for the cell shown

a b c (Å): 5.681 5.681 5.681
angles (deg): 137.11 137.11 62.26
Sites, in units of the cell vectors:
Co: 0.994 0.994 0.000
Ge: 0.232 0.232 0.000
Si: 0.903 0.403 0.500
Si: 0.403 0.903 0.500
Sm: 0.660 0.660 0.000



2.
Density functional theory data (PBE-GGA) for TbCo2SiGe after structural relaxation.

Magnetization = 0.002 μB/f.u.
SG = I4mm, No. 107
Total energy = -32.49 eV for the cell shown

a b c (Å): 5.703 5.703 5.703
angles (deg): 139.84 139.84 58.10
Sites, in units of the cell vectors:
Co: 0.745 0.245 0.500
Co: 0.245 0.745 0.500
Ge: 0.375 0.375 0.000
Si: 0.632 0.632 0.000
Tb: 0.002 0.002 0.000



3.
Density functional theory data (PBE-GGA) for TmCo2SiGe after structural relaxation.

Magnetization = 0.002 μB/f.u.
SG = I4mm, No. 107
Total energy = -32.31 eV for the cell shown

a b c (Å): 5.649 5.649 5.649
angles (deg): 139.73 139.73 58.26
Sites, in units of the cell vectors:
Co: 0.745 0.245 0.500
Co: 0.245 0.745 0.500
Ge: 0.377 0.377 0.000
Si: 0.631 0.631 0.000
Tm: 0.002 0.002 0.000



4.
Density functional theory data (PBE-GGA) for YCo2SiGe after structural relaxation.

Magnetization = 0.012 μB/f.u.
SG = I4mm, No. 107
Total energy = -34.34 eV for the cell shown

a b c (Å): 5.681 5.681 5.681
angles (deg): 139.61 139.61 58.44
Sites, in units of the cell vectors:
Co: 0.745 0.245 0.500
Co: 0.245 0.745 0.500
Ge: 0.376 0.376 0.000
Si: 0.632 0.632 0.000
Y: 0.001 0.001 0.000



5.
Density functional theory data (PBE-GGA) for Zr3Co4Si2Ge2 after structural relaxation.

Magnetization = 0.237 μB/f.u.
SG = Immm, No. 71
Total energy = -82.49 eV for the cell shown

a b c (Å): 7.486 7.486 7.486
angles (deg): 150.57 128.14 60.75
Site moments in Bohr magnetons follow the coordinates.
Sites, in units of the cell vectors:
Co: 0.481 0.180 0.301  0.06
Co: 0.121 0.820 0.301  0.06
Co: 0.879 0.180 0.699  0.06
Co: 0.519 0.820 0.699  0.06
Ge: 0.201 0.000 0.201  0.00
Ge: 0.799 0.000 0.799  0.00
Si: 0.285 0.285 0.000  0.00
Si: 0.715 0.715 0.000  0.00
Zr: 0.500 0.500 0.000  0.00
Zr: 0.871 0.371 0.500  0.00
Zr: 0.129 0.629 0.500  0.00



6.
Density functional theory data (PBE-GGA) for Sm2Co3Ge5 after structural relaxation.

Magnetization = 0.607 μB/f.u.
SG = C2/c, No. 15
Total energy = -119.52 eV for the cell shown

a b c (Å): 5.800 8.155 8.155
angles (deg): 93.26 109.97 109.97
Site moments in Bohr magnetons follow the coordinates.
Sites, in units of the cell vectors:
Co: 0.250 0.997 0.003  0.53
Co: 0.384 0.539 0.261  0.06
Co: 0.116 0.739 0.461  0.06
Co: 0.884 0.261 0.539  0.06
Co: 0.616 0.461 0.739  0.06
Co: 0.750 0.003 0.997  0.53
Ge: 0.168 0.260 0.073  -0.01
Ge: 0.250 0.782 0.218  0.00
Ge: 0.750 0.772 0.228  0.00
Ge: 0.668 0.073 0.260  -0.01
Ge: 0.750 0.506 0.494  0.00
Ge: 0.250 0.494 0.506  0.00
Ge: 0.332 0.927 0.740  -0.01
Ge: 0.250 0.228 0.772  0.00
Ge: 0.750 0.218 0.782  0.00
Ge: 0.832 0.740 0.927  -0.01
Sm: 0.766 0.404 0.129  0.00
Sm: 0.266 0.129 0.404  0.00
Sm: 0.734 0.871 0.596  0.00
Sm: 0.234 0.596 0.871  0.00



7.
Density functional theory data (PBE-GGA) for SmCo4Sn2Ge4 after structural relaxation.

Magnetization = 0.000 μB/f.u.
SG = I-42m, No. 121
Total energy = -63.48 eV for the cell shown

a b c (Å): 6.306 6.306 6.306
angles (deg): 116.66 116.66 95.89
Sites, in units of the cell vectors:
Co: 0.758 0.430 0.000
Co: 0.430 0.758 0.000
Co: 0.570 0.570 0.328
Co: 0.242 0.242 0.672
Ge: 0.482 0.125 0.000
Ge: 0.125 0.482 0.000
Ge: 0.875 0.875 0.356
Ge: 0.518 0.518 0.644
Sm: 0.000 0.000 0.000
Sn: 0.500 0.000 0.500
Sn: 0.000 0.500 0.500



8.
Density functional theory data (PBE-GGA) for SmCo4Sn4Ge2 after structural relaxation.

Magnetization = 0.612 μB/f.u.
SG = I-42m, No. 121
Total energy = -61.57 eV for the cell shown

a b c (Å): 6.603 6.603 6.603
angles (deg): 121.79 121.79 86.93
Site moments in Bohr magnetons follow the coordinates.
Sites, in units of the cell vectors:
Co: 0.748 0.391 0.000  0.15
Co: 0.391 0.748 0.000  0.15
Co: 0.609 0.609 0.356  0.15
Co: 0.252 0.252 0.644  0.15
Ge: 0.500 0.000 0.500  0.00
Ge: 0.000 0.500 0.500  0.00
Sm: 0.000 0.000 0.000  0.01
Sn: 0.474 0.116 0.000  0.00
Sn: 0.116 0.474 0.000  0.00
Sn: 0.884 0.884 0.358  0.00
Sn: 0.526 0.526 0.642  0.00



9.
Density functional theory data (PBE-GGA) for CoSn2Ge after structural relaxation.

Magnetization = 0.819 μB/f.u.
SG = F-43m, No. 216
Total energy = -17.79 eV for the cell shown

a b c (Å): 4.833 4.833 4.833
angles (deg): 60.00 60.00 60.00
Sites, in units of the cell vectors:
Co: 0.250 0.250 0.250
Ge: 0.500 0.500 0.500
Sn: 0.000 0.000 0.000
Sn: 0.750 0.750 0.750



10.
Density functional theory data (PBE-GGA) for CoSnGe2 after structural relaxation.

Magnetization = 0.503 μB/f.u.
SG = F-43m, No. 216
Total energy = -18.70 eV for the cell shown

a b c (Å): 4.634 4.634 4.634
angles (deg): 60.00 60.00 60.00
Sites, in units of the cell vectors:
Co: 0.250 0.250 0.250
Ge: 0.000 0.000 0.000
Ge: 0.750 0.750 0.750
Sn: 0.500 0.500 0.500



11.
Density functional theory data (PBE-GGA) for Ta2Co2SnGe after structural relaxation.

Magnetization = 0.041 μB/f.u.
SG = Pm, No. 6
Total energy = -188.78 eV for the cell shown

a b c (Å): 9.862 3.993 10.077
angles (deg): 90.00 106.54 90.00
Sites, in units of the cell vectors:
Co: 0.890 0.500 0.031
Co: 0.598 0.500 0.228
Co: 0.996 0.000 0.419
Co: 0.338 0.500 0.452
Co: 0.139 0.500 0.577
Co: 0.762 0.000 0.605
Co: 0.506 0.000 0.854
Co: 0.250 0.000 0.962
Ge: 0.495 0.000 0.099
Ge: 0.271 0.000 0.324
Ge: 0.772 0.000 0.891
Ge: 0.104 0.500 0.943
Sn: 0.814 0.500 0.441
Sn: 0.564 0.500 0.650
Sn: 0.053 0.000 0.697
Sn: 0.332 0.500 0.821
Ta: 0.054 0.000 0.098
Ta: 0.334 0.500 0.176
Ta: 0.799 0.000 0.201
Ta: 0.068 0.500 0.312
Ta: 0.557 0.000 0.387
Ta: 0.310 0.000 0.599
Ta: 0.859 0.500 0.746
Ta: 0.633 0.500 0.987



12.
Density functional theory data (PBE-GGA) for TbCo4Sn4Ge2 after structural relaxation.

Magnetization = 0.432 μB/f.u.
SG = I-42m, No. 121
Total energy = -61.55 eV for the cell shown

a b c (Å): 6.587 6.587 6.587
angles (deg): 121.83 121.83 86.86
Site moments in Bohr magnetons follow the coordinates.
Sites, in units of the cell vectors:
Co: 0.748 0.388 0.000  0.11
Co: 0.388 0.748 0.000  0.11
Co: 0.612 0.612 0.360  0.11
Co: 0.252 0.252 0.640  0.11
Ge: 0.500 0.000 0.500  0.00
Ge: 0.000 0.500 0.500  0.00
Sn: 0.471 0.116 0.000  0.00
Sn: 0.116 0.471 0.000  0.00
Sn: 0.884 0.884 0.355  0.00
Sn: 0.529 0.529 0.645  0.00
Tb: 0.000 0.000 0.000  0.01



13.
Density functional theory data (PBE-GGA) for Tm4Co2SnGe4 after structural relaxation.

Magnetization = 0.367 μB/f.u.
SG = C2/m, No. 12
Total energy = -62.49 eV for the cell shown

a b c (Å): 7.917 7.917 6.972
angles (deg): 107.72 107.72 30.70
Site moments in Bohr magnetons follow the coordinates.
Sites, in units of the cell vectors:
Co: 0.779 0.779 0.380  0.16
Co: 0.221 0.221 0.620  0.16
Ge: 0.207 0.207 0.265  0.00
Ge: 0.930 0.930 0.343  0.01
Ge: 0.070 0.070 0.657  0.01
Ge: 0.793 0.793 0.735  0.00
Sn: 0.000 0.000 0.000  0.00
Tm: 0.344 0.344 0.060  0.01
Tm: 0.589 0.589 0.385  0.00
Tm: 0.411 0.411 0.615  0.00
Tm: 0.656 0.656 0.940  0.01



14.
Density functional theory data (PBE-GGA) for TmCo4Sn2Ge4 after structural relaxation.

Magnetization = 0.018 μB/f.u.
SG = I-42m, No. 121
Total energy = -62.99 eV for the cell shown

a b c (Å): 6.275 6.275 6.275
angles (deg): 116.78 116.78 95.67
Sites, in units of the cell vectors:
Co: 0.759 0.423 0.000
Co: 0.423 0.759 0.000
Co: 0.577 0.577 0.336
Co: 0.241 0.241 0.664
Ge: 0.475 0.127 0.000
Ge: 0.127 0.475 0.000
Ge: 0.873 0.873 0.348
Ge: 0.525 0.525 0.652
Sn: 0.500 0.000 0.500
Sn: 0.000 0.500 0.500
Tm: 0.000 0.000 0.000



15.
Density functional theory data (PBE-GGA) for TmCo4Sn4Ge2 after structural relaxation.

Magnetization = 0.202 μB/f.u.
SG = I-42m, No. 121
Total energy = -61.35 eV for the cell shown

a b c (Å): 6.569 6.569 6.569
angles (deg): 121.96 121.96 86.64
Sites, in units of the cell vectors:
Co: 0.749 0.385 0.000
Co: 0.385 0.749 0.000
Co: 0.615 0.615 0.363
Co: 0.251 0.251 0.637
Ge: 0.500 0.000 0.500
Ge: 0.000 0.500 0.500
Sn: 0.468 0.116 0.000
Sn: 0.116 0.468 0.000
Sn: 0.884 0.884 0.352
Sn: 0.532 0.532 0.648
Tm: 0.000 0.000 0.000



16.
Density functional theory data (PBE-GGA) for YCo4Sn4Ge2 after structural relaxation.

Magnetization = 0.376 μB/f.u.
SG = I-42m, No. 121
Total energy = -63.38 eV for the cell shown

a b c (Å): 6.586 6.586 6.586
angles (deg): 121.94 121.94 86.68
Site moments in Bohr magnetons follow the coordinates.
Sites, in units of the cell vectors:
Co: 0.748 0.389 0.000  0.09
Co: 0.389 0.748 0.000  0.10
Co: 0.611 0.611 0.359  0.09
Co: 0.252 0.252 0.641  0.09
Ge: 0.500 0.000 0.500  0.00
Ge: 0.000 0.500 0.500  0.00
Sn: 0.471 0.116 0.000  0.00
Sn: 0.116 0.471 0.000  0.00
Sn: 0.884 0.884 0.355  0.00
Sn: 0.529 0.529 0.645  0.00
Y: 0.000 0.000 0.000  0.01



17.
Density functional theory data (PBE-GGA) for Sr2CoGe after structural relaxation.

Magnetization = 1.000 μB/f.u.
SG = F-43m, No. 216
Total energy = -14.05 eV for the cell shown

a b c (Å): 5.080 5.080 5.080
angles (deg): 60.00 60.00 60.00
Sites, in units of the cell vectors:
Co: 0.250 0.250 0.250
Ge: 0.500 0.500 0.500
Sr: 0.000 0.000 0.000
Sr: 0.750 0.750 0.750



18.
Density functional theory data (PBE-GGA) for SrCoGe after structural relaxation.

Magnetization = 1.112 μB/f.u.
SG = F-43m, No. 216
Total energy = -10.43 eV for the cell shown

a b c (Å): 4.947 4.947 4.947
angles (deg): 60.00 60.00 60.00
Sites, in units of the cell vectors:
Co: 0.250 0.250 0.250
Ge: 0.750 0.750 0.750
Sr: 0.000 0.000 0.000



19.
Density functional theory data (PBE-GGA) for SrCoGe after structural relaxation.

Magnetization = 0.023 μB/f.u.
SG = F-43m, No. 216
Total energy = -12.80 eV for the cell shown

a b c (Å): 4.536 4.536 4.536
angles (deg): 60.00 60.00 60.00
Sites, in units of the cell vectors:
Co: 0.000 0.000 0.000
Ge: 0.250 0.250 0.250
Sr: 0.750 0.750 0.750



20.
Density functional theory data (PBE-GGA) for SrZnCoGe2 after structural relaxation.

Magnetization = 0.929 μB/f.u.
SG = I-4m2, No. 119
Total energy = -20.86 eV for the cell shown

a b c (Å): 6.100 6.100 6.100
angles (deg): 139.49 139.49 58.62
Site moments in Bohr magnetons follow the coordinates.
Sites, in units of the cell vectors:
Co: 0.250 0.750 0.500  0.87
Ge: 0.373 0.373 0.000  0.01
Ge: 0.627 0.627 0.000  -0.01
Sr: 0.000 0.000 0.000  0.01
Zn: 0.750 0.250 0.500  0.01



21.
Density functional theory data (PBE-GGA) for Ta2CoGe after structural relaxation.

Magnetization = 1.223 μB/f.u.
SG = F-43m, No. 216
Total energy = -34.46 eV for the cell shown

a b c (Å): 4.453 4.453 4.453
angles (deg): 60.00 60.00 60.00
Site moments in Bohr magnetons follow the coordinates.
Sites, in units of the cell vectors:
Co: 0.250 0.250 0.250  0.69
Ge: 0.500 0.500 0.500  0.01
Ta: 0.000 0.000 0.000  0.09
Ta: 0.750 0.750 0.750  0.32



22.
Density functional theory data (PBE-GGA) for TaCoGe2 after structural relaxation.

Magnetization = 1.253 μB/f.u.
SG = F-43m, No. 216
Total energy = -27.08 eV for the cell shown

a b c (Å): 4.438 4.438 4.438
angles (deg): 60.00 60.00 60.00
Sites, in units of the cell vectors:
Co: 0.250 0.250 0.250
Ge: 0.000 0.000 0.000
Ge: 0.750 0.750 0.750
Ta: 0.500 0.500 0.500



23.
Density functional theory data (PBE-GGA) for Ta6Co16Ge7 after structural relaxation.

Magnetization = 1.144 μB/f.u.
SG = Fm-3m, No. 225
Total energy = -226.35 eV for the cell shown

a b c (Å): 8.034 8.034 8.034
angles (deg): 120.00 90.00 120.00
Site moments in Bohr magnetons follow the coordinates.
Sites, in units of the cell vectors:
Co: 0.381 0.762 0.143  0.06
Co: 0.495 0.330 0.165  0.07
Co: 0.835 0.330 0.165  0.08
Co: 0.835 0.670 0.165  0.08
Co: 0.619 0.238 0.381  0.06
Co: 0.143 0.762 0.381  0.07
Co: 0.619 0.762 0.381  0.07
Co: 0.165 0.330 0.495  0.08
Co: 0.835 0.670 0.505  0.08
Co: 0.381 0.238 0.619  0.07
Co: 0.381 0.762 0.619  0.06
Co: 0.857 0.238 0.619  0.07
Co: 0.165 0.330 0.835  0.08
Co: 0.165 0.670 0.835  0.08
Co: 0.505 0.670 0.835  0.07
Co: 0.619 0.238 0.857  0.06
Ge: 0.500 0.000 0.000  0.00
Ge: 0.000 0.500 0.000  0.00
Ge: 0.500 0.500 0.000  0.00
Ge: 0.000 0.000 0.500  0.00
Ge: 0.000 0.500 0.500  0.00
Ge: 0.500 0.500 0.500  0.00
Ge: 0.500 0.000 0.500  -0.01
Ta: 0.201 0.000 0.201  0.00
Ta: 0.201 0.402 0.201  0.00
Ta: 0.799 0.000 0.201  0.00
Ta: 0.799 0.000 0.799  0.00
Ta: 0.201 0.000 0.799  0.00
Ta: 0.799 0.598 0.799  0.00